No. 1
! La3Y2Rh2 | Alexandria | GGA-PBE | relaxed; values from VASP
! * space-group type: No. 2
! * formation energy: -0.4975 eV/atom
&SYSTEM
  ibrav = 0, nat = 7, ntyp = 3
/
ATOMIC_SPECIES
La 138.91 La.upf
Y 88.91 Y.upf
Rh 102.91 Rh.upf
ATOMIC_POSITIONS crystal
La 0.500 0.000 0.000
La 0.185 0.798 0.574
La 0.815 0.202 0.426
Y 0.640 0.466 0.815
Y 0.360 0.534 0.185
Rh 0.063 0.878 0.247
Rh 0.937 0.122 0.753
CELL_PARAMETERS angstrom
3.859 -0.001 -0.868
-2.352 5.917 -1.450
-0.068 0.385 8.752

***

No. 2
! La2YRh | Alexandria | GGA-PBE | relaxed; values from VASP
! * space-group type: No. 71
! * formation energy: -0.3892 eV/atom
! * energy above the lowest structure with this stoichiometry: 69 meV per atom
&SYSTEM
  ibrav = 0, nat = 4, ntyp = 3
/
ATOMIC_SPECIES
Y 88.91 Y.upf
Rh 102.91 Rh.upf
La 138.91 La.upf
ATOMIC_POSITIONS crystal
Y 0.250 0.750 0.500
Rh 0.750 0.250 0.500
La 0.946 0.946 0.000
La 0.554 0.554 0.000
CELL_PARAMETERS angstrom
-3.907 0.475 -5.013
-0.161 -5.070 -3.859
-1.006 2.096 5.934

***

No. 3
! La2YRh | Alexandria | GGA-PBE | relaxed; values from VASP
! * space-group type: No. 25
! * formation energy: -0.3559 eV/atom
! * energy above the lowest structure with this stoichiometry: 102 meV per atom
&SYSTEM
  ibrav = 0, nat = 4, ntyp = 3
/
ATOMIC_SPECIES
La 138.91 La.upf
Rh 102.91 Rh.upf
Y 88.91 Y.upf
ATOMIC_POSITIONS crystal
La 0.000 0.011 0.989
La 0.500 0.181 0.319
Rh 0.000 0.490 0.509
Y 0.500 0.817 0.683
CELL_PARAMETERS angstrom
-1.698 2.941 -1.171
0.178 -1.232 -3.354
-7.844 -5.423 -2.244

***

No. 4
! La2YRh | Alexandria | GGA-PBE | relaxed; values from VASP
! * space-group type: No. 8
! * formation energy: -0.3530 eV/atom
! * energy above the lowest structure with this stoichiometry: 105 meV per atom
&SYSTEM
  ibrav = 0, nat = 4, ntyp = 3
/
ATOMIC_SPECIES
La 138.91 La.upf
Rh 102.91 Rh.upf
Y 88.91 Y.upf
ATOMIC_POSITIONS crystal
La 0.000 0.000 0.012
La 0.806 0.806 0.704
Rh 0.501 0.501 0.463
Y 0.192 0.192 0.320
CELL_PARAMETERS angstrom
6.455 -0.007 0.008
5.365 3.590 0.008
2.452 0.743 5.105

***

No. 5
! LaYRh | Alexandria | GGA-PBE | relaxed; values from VASP
! * space-group type: No. 156
! * formation energy: -0.5085 eV/atom
! * energy above the lowest structure with this stoichiometry: 50 meV per atom
&SYSTEM
  ibrav = 0, nat = 3, ntyp = 3
/
ATOMIC_SPECIES
La 138.91 La.upf
Rh 102.91 Rh.upf
Y 88.91 Y.upf
ATOMIC_POSITIONS crystal
La 0.000 0.000 0.095
Rh 0.667 0.333 0.336
Y 0.333 0.667 0.569
CELL_PARAMETERS angstrom
4.105 0.000 0.000
-2.053 3.555 0.000
0.000 0.000 6.414

***

No. 6
! LaY3Rh4 | Alexandria | GGA-PBE | relaxed; values from VASP
! * space-group type: No. 166
! * formation energy: -0.7839 eV/atom
&SYSTEM
  ibrav = 0, nat = 8, ntyp = 3
/
ATOMIC_SPECIES
Y 88.91 Y.upf
Rh 102.91 Rh.upf
La 138.91 La.upf
ATOMIC_POSITIONS crystal
Y 0.248 0.248 0.257
Y 0.752 0.752 0.743
Y 0.500 0.500 0.500
Rh 0.873 0.873 0.380
Rh 0.377 0.377 0.869
Rh 0.127 0.127 0.620
Rh 0.623 0.623 0.131
La 0.000 0.000 0.000
CELL_PARAMETERS angstrom
4.712 0.000 1.391
2.151 4.192 1.391
0.040 0.024 8.542